Compound: LaAg2I6
Source: Alexandria via LeMat-Bulk
Functional: GGA-PBE
Structure: relaxed

## Properties
- total energy (eV per cell) = -26.067
- magnetic moment (μB per formula unit) = 0.0
- calculated volume (A^3/atom) = 43.10

abc: 5.4400 7.7112 11.1204
angles: 63.29 75.84 69.35
Closest atoms and distances in Å follow each position.
Fractional positions:
I (0.0276, 0.1586, 0.7863)  1 Ag 2.87, 1 La 3.08
I (0.7023, 0.6737, 0.9217)  3 Ag 2.80-2.96
I (0.6413, 0.2960, 0.4213)  1 Ag 3.05, 2 La 3.36
I (0.9724, 0.8414, 0.2137)  1 Ag 2.87, 1 La 3.08
I (0.2977, 0.3263, 0.0783)  3 Ag 2.80-2.96
I (0.3587, 0.7040, 0.5787)  1 Ag 3.05, 2 La 3.36
Ag (0.7927, 0.2686, 0.1460)  5 I 2.80-3.05
Ag (0.2073, 0.7314, 0.8540)  5 I 2.80-3.05
La (0.0000, 0.5000, 0.5000)  6 I 3.08-3.36

Compound: La6AgI8
Source: Alexandria via LeMat-Bulk
Functional: GGA-PBE
Structure: relaxed

## Properties
- total energy (eV per cell) = -61.934
- magnetic moment (μB per formula unit) = 0.0
- calculated volume (A^3/atom) = 40.89

abc: 7.7510 7.7510 12.6100
angles: 72.10 72.10 60.00
Closest atoms and distances in Å follow each position.
Fractional positions:
La (0.2690, 0.9477, 0.1566)  1 Ag 3.10, 5 I 3.21-3.32
La (0.0523, 0.3733, 0.8434)  1 Ag 3.10, 5 I 3.21-3.32
La (0.9477, 0.6267, 0.1566)  1 Ag 3.10, 5 I 3.21-3.32
La (0.6267, 0.2690, 0.1566)  1 Ag 3.10, 5 I 3.21-3.32
La (0.3733, 0.7310, 0.8434)  1 Ag 3.10, 5 I 3.21-3.32
La (0.7310, 0.0523, 0.8434)  1 Ag 3.10, 5 I 3.21-3.32
I (0.5511, 0.8906, 0.3285)  3 La 3.27-3.32
I (0.3333, 0.3333, 0.0000)  6 La 3.21
I (0.4489, 0.1094, 0.6715)  3 La 3.27-3.32
I (0.8906, 0.2298, 0.3285)  3 La 3.27-3.32
I (0.1094, 0.7702, 0.6715)  3 La 3.27-3.32
I (0.6667, 0.6667, 0.0000)  6 La 3.21
I (0.7702, 0.4489, 0.6715)  3 La 3.27-3.32
I (0.2298, 0.5511, 0.3285)  3 La 3.27-3.32
Ag (0.0000, 0.0000, 0.0000)  6 La 3.10

Compound: LaAgI
Source: Alexandria via LeMat-Bulk
Functional: GGA-PBE
Structure: relaxed

## Properties
- total energy (eV per cell) = -23.141
- magnetic moment (μB per formula unit) = 0.0
- calculated volume (A^3/atom) = 38.40

abc: 4.5904 4.5904 12.2382
angles: 94.71 94.71 115.31
Closest atoms and distances in Å follow each position.
Fractional positions:
I (0.6883, 0.6883, 0.3361)  2 La 3.23-3.26
I (0.3117, 0.3117, 0.6639)  2 La 3.23-3.26
La (0.1181, 0.1181, 0.1608)  4 Ag 3.19-3.22, 2 I 3.23-3.26
La (0.8819, 0.8819, 0.8392)  4 Ag 3.19-3.22, 2 I 3.23-3.26
Ag (0.3238, 0.6762, 0.0000)  3 Ag 2.71-2.73
Ag (0.6762, 0.3238, 0.0000)  3 Ag 2.71-2.73

Listing energy relative to the elements, uncorrected for the structures above in their given order: -682; -1141; -747 meV/atom.